1.
# CaPt2Au6

A relaxed structure of CaPt2Au6 (PBE-GGA, Alexandria).

Lattice parameters (Å, degrees): 4.862 4.862 9.808 90.00 90.00 120.00
Sites, in units of the cell vectors:
Au 0.333 0.000 0.740
Au 0.000 0.333 0.740
Au 0.667 0.667 0.740
Au 0.000 0.667 0.260
Au 0.333 0.333 0.260
Au 0.667 0.000 0.260
Ca 0.000 0.000 0.000
Pt 0.667 0.333 0.500
Pt 0.333 0.667 0.500

Space group ... No. 162
Formation energy ... -0.1 eV per formula unit



2.
# SiOsPb2

A relaxed structure of SiOsPb2 (PBE-GGA, Alexandria).

Lattice parameters (Å, degrees): 3.204 3.204 8.514 90.00 90.00 90.00
Sites, in units of the cell vectors:
Pb 0.500 0.500 0.315
Pb 0.000 0.000 0.941
Os 0.500 0.500 0.681
Si 0.000 0.000 0.564

Space group ... No. 99
ΔE_f (raw) ... 158 meV/atom



3.
# Li3TlSb

A relaxed structure of Li3TlSb (PBE-GGA, Alexandria).

Lattice parameters (Å, degrees): 5.187 5.187 5.187 90.00 90.00 90.00
Sites, in units of the cell vectors:
Li 0.000 0.500 0.000
Li 0.000 0.000 0.500
Li 0.500 0.000 0.000
Sb 0.000 0.000 0.000
Tl 0.500 0.500 0.500

Space group ... No. 221
Energy above the most stable polymorph in this dataset ... 0.98 eV per formula unit
ΔE_f (raw) ... -222 meV/atom



| no. | total DFT energy (no corrections) (eV/cell) | Fermi-level density of states (states/eV per cell) |
| --- | --- | --- |
| 1 | -33.85 | 5.24 |
| 2 | -23.44 | 0.85 |
| 3 | -13.34 | 2.77 |